1.
A relaxed IrN2OF crystal. Source: Alexandria, functional PBE-GGA.

Cell: 3.800 3.800 3.798 Å, 90.00 90.00 90.00°
Positions (direct):
Ir (0.000, 0.000, 0.000)
N (0.000, 0.500, 0.000)
N (0.500, 0.000, 0.000)
O (0.000, 0.000, 0.500)
F (0.500, 0.500, 0.500)

Properties
- E_form (uncorrected): 0.859 eV/atom
- Final energy: -5.609 eV per atom
- Magnetic moment: 0.001 μB per cell

2.
A relaxed IrNO2F crystal. Source: Alexandria, functional PBE-GGA.

Cell: 3.783 3.783 3.793 Å, 90.00 90.00 90.00°
Positions (direct):
Ir (0.000, 0.000, 0.000)
N (0.000, 0.000, 0.500)
O (0.000, 0.500, 0.000)
O (0.500, 0.000, 0.000)
F (0.500, 0.500, 0.500)

Properties
- E_form (uncorrected): 0.299 eV/atom
- Final energy: -5.495 eV per atom
- Magnetic moment: 0.000 μB per cell

3.
A relaxed IrN2OF crystal. Source: Alexandria, functional PBE-GGA.

Cell: 3.737 3.737 3.331 Å, 90.00 90.00 90.00°
Positions (direct):
Ir (0.000, 0.000, 0.000)
N (0.000, 0.500, 0.500)
N (0.500, 0.000, 0.500)
O (0.500, 0.500, 0.500)
F (0.500, 0.500, 0.000)

Properties
- E_form (uncorrected): 2.176 eV/atom
- Final energy: -4.292 eV per atom
- Magnetic moment: 0.000 μB per cell

4.
A relaxed IrNO2F crystal. Source: Alexandria, functional PBE-GGA.

Cell: 3.837 3.837 3.263 Å, 90.00 90.00 90.00°
Positions (direct):
Ir (0.000, 0.000, 0.000)
N (0.500, 0.500, 0.500)
O (0.000, 0.500, 0.500)
O (0.500, 0.000, 0.500)
F (0.500, 0.500, 0.000)

Properties
- E_form (uncorrected): 1.557 eV/atom
- Final energy: -4.238 eV per atom
- Magnetic moment: 0.658 μB per cell

5.
A relaxed IrN2OF crystal. Source: Alexandria, functional PBE-GGA.

Cell: 3.594 3.594 3.699 Å, 90.00 90.00 90.00°
Positions (direct):
Ir (0.000, 0.000, 0.000)
N (0.000, 0.500, 0.500)
N (0.500, 0.000, 0.500)
O (0.500, 0.500, 0.000)
F (0.500, 0.500, 0.500)

Properties
- E_form (uncorrected): 2.541 eV/atom
- Final energy: -3.928 eV per atom
- Magnetic moment: 0.000 μB per cell

6.
A relaxed IrNO2F crystal. Source: Alexandria, functional PBE-GGA.

Cell: 3.694 3.694 3.548 Å, 90.00 90.00 90.00°
Positions (direct):
Ir (0.000, 0.000, 0.000)
N (0.500, 0.500, 0.000)
O (0.000, 0.500, 0.500)
O (0.500, 0.000, 0.500)
F (0.500, 0.500, 0.500)

Properties
- E_form (uncorrected): 2.110 eV/atom
- Final energy: -3.684 eV per atom
- Magnetic moment: 0.000 μB per cell

7.
A relaxed IrOsNF2 crystal. Source: Alexandria, functional PBE-GGA.

Cell: 4.267 4.267 3.743 Å, 90.00 90.00 90.00°
Positions (direct):
Ir (0.000, 0.000, 0.000)
Os (0.500, 0.500, 0.500)
N (0.500, 0.500, 0.000)
F (0.000, 0.500, 0.500)
F (0.500, 0.000, 0.500)

Properties
- E_form (uncorrected): 0.768 eV/atom
- Final energy: -5.663 eV per atom
- Offset from the most stable computed form: 0 meV per atom
- Magnetic moment: 1.826 μB per cell

8.
A relaxed IrOsNF2 crystal. Source: Alexandria, functional PBE-GGA.

Cell: 4.466 4.466 3.670 Å, 90.00 90.00 90.00°
Positions (direct):
Ir (0.000, 0.000, 0.000)
Os (0.500, 0.500, 0.500)
N (0.000, 0.000, 0.500)
F (0.000, 0.500, 0.000)
F (0.500, 0.000, 0.000)

Properties
- E_form (uncorrected): 0.966 eV/atom
- Final energy: -5.466 eV per atom
- Offset from the most stable computed form: 197 meV per atom
- Magnetic moment: 3.673 μB per cell

9.
A relaxed PIrN2F crystal. Source: Alexandria, functional PBE-GGA.

Cell: 3.706 3.706 3.492 Å, 90.00 90.00 90.00°
Positions (direct):
P (0.000, 0.000, 0.000)
Ir (0.500, 0.500, 0.500)
N (0.000, 0.500, 0.000)
N (0.500, 0.000, 0.000)
F (0.000, 0.000, 0.500)

Properties
- E_form (uncorrected): 1.032 eV/atom
- Final energy: -5.527 eV per atom
- Offset from the most stable computed form: 0 meV per atom
- Magnetic moment: 0.000 μB per cell

10.
A relaxed PIrN2F crystal. Source: Alexandria, functional PBE-GGA.

Cell: 3.873 3.873 4.214 Å, 90.00 90.00 90.00°
Positions (direct):
P (0.000, 0.000, 0.000)
Ir (0.500, 0.500, 0.500)
N (0.000, 0.500, 0.500)
N (0.500, 0.000, 0.500)
F (0.500, 0.500, 0.000)

Properties
- E_form (uncorrected): 1.049 eV/atom
- Final energy: -5.510 eV per atom
- Offset from the most stable computed form: 17 meV per atom
- Magnetic moment: 0.754 μB per cell

11.
A relaxed IrPbN2F crystal. Source: Alexandria, functional PBE-GGA.

Cell: 3.767 3.767 5.698 Å, 90.00 90.00 90.00°
Positions (direct):
Ir (0.000, 0.000, 0.000)
Pb (0.500, 0.500, 0.500)
N (0.000, 0.500, 0.000)
N (0.500, 0.000, 0.000)
F (0.000, 0.000, 0.500)

Properties
- E_form (uncorrected): 0.088 eV/atom
- Final energy: -6.130 eV per atom
- Offset from the most stable computed form: 0 meV per atom
- Magnetic moment: 0.000 μB per cell

12.
A relaxed IrPbN2F crystal. Source: Alexandria, functional PBE-GGA.

Cell: 4.322 4.322 4.152 Å, 90.00 90.00 90.00°
Positions (direct):
Ir (0.000, 0.000, 0.000)
Pb (0.500, 0.500, 0.500)
N (0.000, 0.500, 0.500)
N (0.500, 0.000, 0.500)
F (0.500, 0.500, 0.000)

Properties
- E_form (uncorrected): 1.790 eV/atom
- Final energy: -4.428 eV per atom
- Offset from the most stable computed form: 1702 meV per atom
- Magnetic moment: 1.418 μB per cell

Which value of final energy does entry 4 give? -4.238 eV per atom

What did the seventh record say?
A relaxed IrOsNF2 crystal. Source: Alexandria, functional PBE-GGA.

Cell: 4.267 4.267 3.743 Å, 90.00 90.00 90.00°
Positions (direct):
Ir (0.000, 0.000, 0.000)
Os (0.500, 0.500, 0.500)
N (0.500, 0.500, 0.000)
F (0.000, 0.500, 0.500)
F (0.500, 0.000, 0.500)

Properties
- E_form (uncorrected): 0.768 eV/atom
- Final energy: -5.663 eV per atom
- Offset from the most stable computed form: 0 meV per atom
- Magnetic moment: 1.826 μB per cell